Below is crystalline Na2FeBi2O6 at its relaxed geometry, with properties calculated at the PBE+U level.

Properties
E	-5.44	eV/atom
space group	C2/m

```
Na2FeBi2O6
1.0
-1.432 3.312 -4.563
-3.669 -0.322 4.502
4.020 3.618 2.442
Na Fe Bi O
2 1 2 6
Cartesian
-1.777 2.752 -3.167
-3.325 0.238 3.106
2.010 1.809 1.221
-0.908 2.707 2.682
-0.173 3.902 -0.300
-1.169 4.881 1.668
1.401 2.560 3.159
0.088 1.727 0.714
2.123 3.733 0.233
-2.482 4.048 -0.777
-3.204 2.875 2.149
```